The following is a DFT calculation (PBE-GGA) of a relaxed AlCuPb3 crystal.

a = 5.987 Å, b = 5.987 Å, c = 8.648 Å
α = 90.00°, β = 90.00°, γ = 120.00°
Sites, in units of the cell vectors:
Al (0.333, 0.667, 0.000)
Al (0.667, 0.333, 0.000)
Cu (0.000, 0.000, 0.131)
Cu (0.000, 0.000, 0.869)
Pb (0.000, 0.353, 0.322)
Pb (0.000, 0.647, 0.678)
Pb (0.353, 0.000, 0.322)
Pb (0.353, 0.353, 0.678)
Pb (0.647, 0.000, 0.678)
Pb (0.647, 0.647, 0.322)

**SG**: No. 162
**Total energy**: -3.3688 eV/atom

=====

The following is a DFT calculation (PBE-GGA) of a relaxed Al2CuPb crystal.

a = 4.809 Å, b = 4.809 Å, c = 4.809 Å
α = 60.00°, β = 60.00°, γ = 60.00°
Sites, in units of the cell vectors:
Al (0.000, 0.000, 0.000)
Al (0.250, 0.250, 0.250)
Cu (0.750, 0.750, 0.750)
Pb (0.500, 0.500, 0.500)

**SG**: No. 216
**Total energy**: -3.3912 eV/atom

=====

The following is a DFT calculation (PBE-GGA) of a relaxed AlCu2Pb crystal.

a = 6.527 Å, b = 6.527 Å, c = 6.527 Å
α = 90.00°, β = 90.00°, γ = 90.00°
Sites, in units of the cell vectors:
Al (0.000, 0.000, 0.000)
Al (0.000, 0.000, 0.500)
Al (0.000, 0.500, 0.000)
Al (0.500, 0.000, 0.000)
Cu (0.214, 0.214, 0.214)
Cu (0.214, 0.214, 0.786)
Cu (0.214, 0.786, 0.214)
Cu (0.214, 0.786, 0.786)
Cu (0.786, 0.214, 0.214)
Cu (0.786, 0.214, 0.786)
Cu (0.786, 0.786, 0.214)
Cu (0.786, 0.786, 0.786)
Pb (0.000, 0.500, 0.500)
Pb (0.500, 0.000, 0.500)
Pb (0.500, 0.500, 0.000)
Pb (0.500, 0.500, 0.500)

**SG**: No. 221
**Total energy**: -3.5808 eV/atom

=====

The following is a DFT calculation (PBE-GGA) of a relaxed AlCuPb2 crystal.

a = 5.125 Å, b = 5.125 Å, c = 5.125 Å
α = 60.00°, β = 60.00°, γ = 60.00°
Sites, in units of the cell vectors:
Al (0.000, 0.000, 0.000)
Cu (0.250, 0.250, 0.250)
Pb (0.500, 0.500, 0.500)
Pb (0.750, 0.750, 0.750)

**SG**: No. 216
**Total energy**: -3.3262 eV/atom

=====

The following is a DFT calculation (PBE-GGA) of a relaxed AlCuPdPb crystal.

a = 4.655 Å, b = 4.655 Å, c = 4.655 Å
α = 60.00°, β = 60.00°, γ = 60.00°
Sites, in units of the cell vectors:
Al (0.000, 0.000, 0.000)
Cu (0.500, 0.500, 0.500)
Pd (0.250, 0.250, 0.250)
Pb (0.750, 0.750, 0.750)

**SG**: No. 216
**E above lowest polymorph**: 76 meV/atom

=====

The following is a DFT calculation (PBE-GGA) of a relaxed AlCuPdPb crystal.

a = 4.658 Å, b = 4.658 Å, c = 4.658 Å
α = 60.00°, β = 60.00°, γ = 60.00°
Sites, in units of the cell vectors:
Al (0.000, 0.000, 0.000)
Cu (0.250, 0.250, 0.250)
Pd (0.750, 0.750, 0.750)
Pb (0.500, 0.500, 0.500)

**SG**: No. 216
**E above lowest polymorph**: 0 meV/atom